No. 1
Density functional theory data (GGA-PBE) for a geometry-optimized Ba2CaTlCu2O7 structure.

For the uncorrected formation energy, the calculation gives -1.60 eV per atom.

The space group is P4/mmm (No. 123) and the conventional cell measures 3.834, 3.834 and 13.005 Å, with angles of 90.00, 90.00 and 90.00 degrees. The distinct sites, in fractional coordinates, are Ba at (0.000, 0.000, 0.208), Ca at (0.000, 0.000, 0.500), Tl at (0.500, 0.500, 0.000), Cu at (0.500, 0.500, 0.367), O at (0.000, 0.000, 0.000), O at (0.000, 0.500, 0.381) and O at (0.500, 0.500, 0.162).

***

No. 2
Density functional theory data (GGA-PBE) for a geometry-optimized Er14PuTh structure.

The value obtained for the energy relative to the elements is 43.3 meV per atom.

The space group is P4/mmm (No. 123) and the conventional cell measures 7.018, 7.018 and 9.883 Å, with angles of 90.00, 90.00 and 90.00 degrees. The distinct sites, in fractional coordinates, are Er at (0.000, 0.000, 0.000), Er at (0.000, 0.500, 0.000), Er at (0.000, 0.500, 0.500), Er at (0.250, 0.250, 0.252), Er at (0.500, 0.500, 0.000), Pu at (0.000, 0.000, 0.500) and Th at (0.500, 0.500, 0.500).